# 1
BeSnSbN2: optimized geometry, GGA-PBE.

The calculation puts the total magnetization at 0.000 μB per atom. The calculation puts the volume at 16.63 Å³/atom. The energy relative to the elements, uncorrected is 1.37 eV/atom. Its crystal system is tetragonal. Its total energy is -4.3331 eV/atom.

Geometry as POSCAR:
```
BeSnSbN2
1.0
-0.173 -4.095 0.861
1.596 -0.982 -4.352
3.940 0.131 1.416
Sb Be Sn N
1 1 1 2
direct
0.000 0.000 0.000 Sb
0.000 0.500 0.000 Be
0.500 0.500 0.500 Sn
0.000 0.000 0.500 N
0.500 0.000 0.000 N
```

=====

# 2
As3PbAu: optimized geometry, GGA-PBE.

The value obtained for the polymorph energy (0 for the lowest one) is 0.0 meV/atom. The calculation puts the total magnetization at 0.000 μB per atom. For the energy of formation, the calculation gives 58 kJ per mole of atoms. The calculation puts the volume at 26.65 Å³/atom. Its crystal system is cubic. Its total energy is -3.5819 eV/atom.

Geometry as POSCAR:
```
As3PbAu
1.0
5.108 0.000 0.000
0.000 5.108 0.000
0.000 0.000 5.108
Pb As Au
1 3 1
direct
0.500 0.500 0.500 Pb
0.000 0.500 0.000 As
0.000 0.000 0.500 As
0.500 0.000 0.000 As
0.000 0.000 0.000 Au
```

=====

# 3
AlPbO2F: optimized geometry, GGA-PBE.

The calculation puts the total magnetization at 0.000 μB per atom. The calculation puts the volume at 16.34 Å³/atom. The energy relative to the elements, uncorrected is -0.72 eV/atom. Its crystal system is tetragonal. Its total energy is -4.5708 eV/atom.

Geometry as POSCAR:
```
AlPbO2F
1.0
4.289 0.000 0.000
0.000 4.289 0.000
0.000 0.000 4.442
Pb Al O F
1 1 2 1
direct
0.000 0.000 0.000 Pb
0.500 0.500 0.500 Al
0.000 0.500 0.000 O
0.500 0.000 0.000 O
0.000 0.000 0.500 F
```

=====

# 4
LiHo2Cd4: optimized geometry, GGA-PBE.

The calculation puts the total magnetization at 0.000 μB per atom. For the energy of formation, the calculation gives -14 kJ per mole of atoms. The calculation puts the volume at 23.64 Å³/atom. Its crystal system is trigonal. Its total energy is -2.2541 eV/atom.

Geometry as POSCAR:
```
LiHo2Cd4
1.0
-3.289 -2.964 2.658
0.565 -0.549 5.104
-5.147 4.502 3.667
Li Ho Cd
1 2 4
direct
0.000 0.000 0.000 Li
0.721 0.721 0.838 Ho
0.279 0.279 0.162 Ho
0.872 0.872 0.383 Cd
0.128 0.128 0.617 Cd
0.573 0.573 0.280 Cd
0.427 0.427 0.720 Cd
```

=====

# 5
Cu2WBr: optimized geometry, GGA-PBE.

The value obtained for the polymorph energy (0 for the lowest one) is 68.5 meV/atom. The calculation puts the total magnetization at 0.000 μB per atom. The calculation puts the volume at 17.29 Å³/atom. The energy relative to the elements, uncorrected is 0.60 eV/atom. Its crystal system is tetragonal. Its total energy is -5.1086 eV/atom.

Geometry as POSCAR:
```
Cu2WBr
1.0
-2.569 0.184 1.129
-1.135 -0.053 -2.572
-0.458 -8.729 0.383
Br Cu W
1 2 1
direct
0.500 0.500 0.750 Br
0.000 0.000 0.042 Cu
0.000 0.000 0.458 Cu
0.500 0.500 0.250 W
```

=====

# 6
Zr4InN: optimized geometry, GGA-PBE.

The value obtained for the polymorph energy (0 for the lowest one) is 250.7 meV/atom. The calculation puts the total magnetization at 0.000 μB per atom. The calculation puts the volume at 22.27 Å³/atom. The energy relative to the elements, uncorrected is -0.43 eV/atom. Its crystal system is monoclinic. Its total energy is -7.9714 eV/atom.

Geometry as POSCAR:
```
Zr4InN
1.0
5.182 0.000 0.000
0.000 6.730 -0.438
0.000 -3.167 7.870
Zr In N
8 2 2
direct
0.251 0.815 0.118 Zr
0.249 0.315 0.118 Zr
0.766 0.616 0.224 Zr
0.266 0.884 0.776 Zr
0.734 0.116 0.224 Zr
0.234 0.384 0.776 Zr
0.751 0.685 0.882 Zr
0.749 0.185 0.882 Zr
0.000 0.500 0.500 In
0.500 0.000 0.500 In
0.500 0.500 0.000 N
0.000 0.000 0.000 N
```